# 1
VASP calculation (PBE) on a relaxed PaBe2OsO8 crystal.

The formation energy from raw total energies comes out at -1863 meV/atom. For the density of states at the Fermi level, the calculation gives 0.398 states/eV/atom. As for the total DFT energy (no corrections): -90.2 eV for the cell shown.

It has space group P-3m1 (No. 164), with a = 4.9916 Å, b = 4.9916 Å, c = 6.2760 Å, α = 90.00°, β = 90.00° and γ = 120.00°. The asymmetric unit holds Pa at (0.0000, 0.0000, 0.0000), Be at (0.3333, 0.6667, 0.2051), Os at (0.0000, 0.0000, 0.5000), O at (0.1643, 0.3287, 0.3036) and O at (0.3333, 0.6667, 0.9582).


# 2
VASP calculation (PBE) on a relaxed LaFe3Ag crystal.

The excess energy over the best structure of this formula in the dataset comes out at 0.0 kJ/mol of atoms. For the density of states at the Fermi level, the calculation gives 1.787 states/eV/atom. The formation energy comes out at 0.98 eV/atom. As for the total DFT energy (no corrections): -28.2 eV for the cell shown.

It has space group Pm-3m (No. 221), with a = 4.8100 Å, b = 4.8100 Å, c = 4.8100 Å, α = 90.00°, β = 90.00° and γ = 90.00°. The asymmetric unit holds La at (0.0000, 0.0000, 0.0000), Fe at (0.0000, 0.5000, 0.5000) and Ag at (0.5000, 0.5000, 0.5000).


# 3
VASP calculation (PBE) on a relaxed CuSiSb2As crystal.

The formation energy from raw total energies comes out at 597 meV/atom. For the density of states at the Fermi level, the calculation gives 0.383 states/eV/atom. As for the total DFT energy (no corrections): -19.4 eV for the cell shown.

It has space group P4/mmm (No. 123), with a = 5.2974 Å, b = 5.2974 Å, c = 4.3412 Å, α = 90.00°, β = 90.00° and γ = 90.00°. The asymmetric unit holds Cu at (0.0000, 0.0000, 0.0000), Si at (0.0000, 0.0000, 0.5000), Sb at (0.0000, 0.5000, 0.5000) and As at (0.5000, 0.5000, 0.0000).


# 4
VASP calculation (PBE) on a relaxed Sc2PbCl2 crystal.

The formation energy from raw total energies comes out at -1010 meV/atom. For the density of states at the Fermi level, the calculation gives 0.583 states/eV/atom. As for the total DFT energy (no corrections): -50.2 eV for the cell shown.

It has space group I4/mmm (No. 139), with a = 4.1576 Å, b = 4.1576 Å, c = 13.2364 Å, α = 90.00°, β = 90.00° and γ = 90.00°. The asymmetric unit holds Sc at (0.0000, 0.0000, 0.1232), Pb at (0.0000, 0.0000, 0.5000) and Cl at (0.0000, 0.5000, 0.2500).